Record 1
The following is a GGA-PBE calculation of a geometry-optimized Na2AlAu2 structure, from Alexandria via LeMat-Bulk.

Its total energy is -29.1 eV/cell. The excess energy over the best structure of this formula in the dataset comes out at 0.0 meV/atom. For the formation enthalpy at 0 K, the calculation gives -0.325 eV/atom.

Cell: 4.061 5.901 9.507 Å, 90.00 90.00 90.00°
Space group Immm (No. 71)
Symmetry-distinct sites (fractional):
Na 0.000 0.000 0.202 (multiplicity 4)
Al 0.000 0.500 0.000 (multiplicity 2)
Au 0.000 0.261 0.500 (multiplicity 4)



Record 2
The following is a GGA-PBE calculation of a geometry-optimized NaAl4Au4 structure, from Alexandria via LeMat-Bulk.

Its total energy is -65.5 eV/cell. The excess energy over the best structure of this formula in the dataset comes out at 0.0 meV/atom. For the formation enthalpy at 0 K, the calculation gives -0.372 eV/atom.

Cell: 6.442 6.442 8.593 Å, 90.00 90.00 90.00°
Space group P4_2/nmc (No. 137, origin choice 2)
Symmetry-distinct sites (fractional):
Na 0.250 0.750 0.250 (multiplicity 2)
Al 0.012 0.250 0.145 (multiplicity 8)
Au 0.029 0.250 0.447 (multiplicity 8)



Record 3
The following is a GGA-PBE calculation of a geometry-optimized Na2Al2Au structure, from Alexandria via LeMat-Bulk.

Its total energy is -24.4 eV/cell. The excess energy over the best structure of this formula in the dataset comes out at 352.5 meV/atom. For the formation enthalpy at 0 K, the calculation gives 0.235 eV/atom.

Cell: 3.796 3.796 14.999 Å, 90.00 90.00 90.00°
Space group I4/mmm (No. 139)
Symmetry-distinct sites (fractional):
Na 0.000 0.500 0.250 (multiplicity 4)
Al 0.000 0.000 0.085 (multiplicity 4)
Au 0.000 0.000 0.500 (multiplicity 2)



Record 4
The following is a GGA-PBE calculation of a geometry-optimized NaAl2Au4 structure, from Alexandria via LeMat-Bulk.

Its total energy is -48.7 eV/cell. For the formation enthalpy at 0 K, the calculation gives -0.348 eV/atom.

Cell: 8.061 8.061 4.157 Å, 90.00 90.00 90.00°
Space group P4_2/mnm (No. 136)
Symmetry-distinct sites (fractional):
Na 0.000 0.000 0.000 (multiplicity 2)
Al 0.228 0.228 0.500 (multiplicity 4)
Au 0.077 0.674 0.500 (multiplicity 8)



Record 5
The following is a GGA-PBE calculation of a geometry-optimized NaAlAu3 structure, from Alexandria via LeMat-Bulk.

Its total energy is -10.9 eV/cell. The excess energy over the best structure of this formula in the dataset comes out at 1101.4 meV/atom. For the formation enthalpy at 0 K, the calculation gives 0.789 eV/atom.

Cell: 5.009 5.009 5.009 Å, 90.00 90.00 90.00°
Space group Pm-3m (No. 221)
Symmetry-distinct sites (fractional):
Na 0.000 0.000 0.000 (multiplicity 1)
Al 0.500 0.500 0.500 (multiplicity 1)
Au 0.000 0.000 0.500 (multiplicity 3)



Record 6
The following is a GGA-PBE calculation of a geometry-optimized NaAl3Au3 structure, from Alexandria via LeMat-Bulk.

Its total energy is -147.7 eV/cell. The excess energy over the best structure of this formula in the dataset comes out at 0.0 meV/atom. For the formation enthalpy at 0 K, the calculation gives -0.319 eV/atom.

Cell: 7.8390 7.8390 15.6013 Å, 90.00 90.00 120.00°
Space group R-3 (No. 148, hexagonal axes)
Symmetry-distinct sites (fractional):
Na 0.0000 0.0000 0.1691 (multiplicity 6)
Al 0.9996 0.3318 0.3857 (multiplicity 18)
Au 0.0031 0.3057 0.5584 (multiplicity 18)



Record 7
The following is a GGA-PBE calculation of a geometry-optimized Na2AlAu2 structure, from Alexandria via LeMat-Bulk.

Its total energy is -28.7 eV/cell. The excess energy over the best structure of this formula in the dataset comes out at 38.0 meV/atom. For the formation enthalpy at 0 K, the calculation gives -0.287 eV/atom.

Cell: 6.773 6.773 4.836 Å, 90.00 90.00 90.00°
Space group P4/mbm (No. 127)
Symmetry-distinct sites (fractional):
Na 0.166 0.334 0.000 (multiplicity 4)
Al 0.000 0.000 0.500 (multiplicity 2)
Au 0.148 0.648 0.500 (multiplicity 4)



Record 8
The following is a GGA-PBE calculation of a geometry-optimized Na2Al12Au7 structure, from Alexandria via LeMat-Bulk.

Its total energy is -78.0 eV/cell. For the formation enthalpy at 0 K, the calculation gives -0.358 eV/atom.

Cell: 10.6020 10.6020 4.0218 Å, 90.00 90.00 120.00°
Space group P-3 (No. 147)
Symmetry-distinct sites (fractional):
Na 0.3333 0.6667 0.2591 (multiplicity 2)
Al 0.0496 0.4358 0.7499 (multiplicity 6)
Al 0.1108 0.2648 0.2611 (multiplicity 6)
Au 0.0000 0.0000 0.5000 (multiplicity 1)
Au 0.1278 0.7132 0.7598 (multiplicity 6)



Record 9
The following is a GGA-PBE calculation of a geometry-optimized NaAl2Au5 structure, from Alexandria via LeMat-Bulk.

Its total energy is -55.2 eV/cell. For the formation enthalpy at 0 K, the calculation gives -0.299 eV/atom.

Cell: 4.048 6.776 11.591 Å, 90.00 90.00 90.00°
Space group Immm (No. 71)
Symmetry-distinct sites (fractional):
Na 0.000 0.000 0.000 (multiplicity 2)
Al 0.000 0.500 0.226 (multiplicity 4)
Au 0.000 0.220 0.366 (multiplicity 8)
Au 0.000 0.500 0.000 (multiplicity 2)



Record 10
The following is a GGA-PBE calculation of a geometry-optimized NaAlAu2 structure, from Alexandria via LeMat-Bulk.

Its total energy is -12.8 eV/cell. For the formation enthalpy at 0 K, the calculation gives -0.293 eV/atom.

Cell: 4.928 4.928 2.927 Å, 90.00 90.00 90.00°
Space group P4/mmm (No. 123)
Symmetry-distinct sites (fractional):
Na 0.000 0.000 0.000 (multiplicity 1)
Al 0.500 0.500 0.000 (multiplicity 1)
Au 0.000 0.500 0.500 (multiplicity 2)



Record 11
The following is a GGA-PBE calculation of a geometry-optimized NaAlAu3 structure, from Alexandria via LeMat-Bulk.

Its total energy is -32.7 eV/cell. The excess energy over the best structure of this formula in the dataset comes out at 18.6 meV/atom. For the formation enthalpy at 0 K, the calculation gives -0.293 eV/atom.

Cell: 5.204 6.816 6.818 Å, 60.53 87.37 87.23°
Space group P1 (No. 1)
Symmetry-distinct sites (fractional):
Na 0.000 0.000 0.000 (multiplicity 1)
Na 0.007 0.714 0.712 (multiplicity 1)
Al 0.317 0.467 0.465 (multiplicity 1)
Al 0.689 0.247 0.247 (multiplicity 1)
Au 0.164 0.249 0.246 (multiplicity 1)
Au 0.502 0.660 0.052 (multiplicity 1)
Au 0.503 0.356 0.856 (multiplicity 1)
Au 0.503 0.857 0.355 (multiplicity 1)
Au 0.504 0.053 0.659 (multiplicity 1)
Au 0.842 0.465 0.466 (multiplicity 1)



Record 12
The following is a GGA-PBE calculation of a geometry-optimized NaAlAu3 structure, from Alexandria via LeMat-Bulk.

Its total energy is -32.9 eV/cell. The excess energy over the best structure of this formula in the dataset comes out at 0.0 meV/atom. For the formation enthalpy at 0 K, the calculation gives -0.312 eV/atom.

Cell: 5.868 6.693 6.933 Å, 116.93 90.54 115.85°
Space group P1 (No. 1)
Symmetry-distinct sites (fractional):
Na 0.000 0.000 0.000 (multiplicity 1)
Na 0.245 0.504 0.637 (multiplicity 1)
Al 0.486 0.979 0.267 (multiplicity 1)
Al 0.665 0.347 0.731 (multiplicity 1)
Au 0.036 0.567 0.078 (multiplicity 1)
Au 0.203 0.942 0.556 (multiplicity 1)
Au 0.536 0.575 0.086 (multiplicity 1)
Au 0.547 0.096 0.967 (multiplicity 1)
Au 0.730 0.478 0.443 (multiplicity 1)
Au 0.733 0.949 0.564 (multiplicity 1)



Record 13
The following is a GGA-PBE calculation of a geometry-optimized Na2AlAu structure, from Alexandria via LeMat-Bulk.

Its total energy is -38.7 eV/cell. For the formation enthalpy at 0 K, the calculation gives -0.003 eV/atom.

Cell: 9.932 9.932 4.950 Å, 90.00 90.00 90.00°
Space group I-42d (No. 122)
Symmetry-distinct sites (fractional):
Na 0.131 0.250 0.125 (multiplicity 8)
Al 0.000 0.000 0.500 (multiplicity 4)
Au 0.000 0.000 0.000 (multiplicity 4)



Record 14
The following is a GGA-PBE calculation of a geometry-optimized NaAl3Au3 structure, from Alexandria via LeMat-Bulk.

Its total energy is -48.8 eV/cell. The excess energy over the best structure of this formula in the dataset comes out at 33.2 meV/atom. For the formation enthalpy at 0 K, the calculation gives -0.286 eV/atom.

Cell: 8.0385 8.0385 4.5431 Å, 90.00 90.00 120.00°
Space group P6_3/m (No. 176)
Symmetry-distinct sites (fractional):
Na 0.3333 0.6667 0.2500 (multiplicity 2)
Al 0.0077 0.2335 0.2500 (multiplicity 6)
Au 0.0488 0.4145 0.7500 (multiplicity 6)



Record 15
The following is a GGA-PBE calculation of a geometry-optimized Na2Al3Au9 structure, from Alexandria via LeMat-Bulk.

Its total energy is -194.1 eV/cell. For the formation enthalpy at 0 K, the calculation gives -0.369 eV/atom.

Cell: 13.517 7.874 10.801 Å, 90.00 114.56 90.00°
Space group C2/c (No. 15)
Symmetry-distinct sites (fractional):
Na 0.166 0.083 0.250 (multiplicity 8)
Al 0.087 0.240 0.500 (multiplicity 8)
Al 0.250 0.250 0.000 (multiplicity 4)
Au 0.000 0.358 0.250 (multiplicity 4)
Au 0.063 0.087 0.938 (multiplicity 8)
Au 0.110 0.417 0.079 (multiplicity 8)
Au 0.111 0.302 0.749 (multiplicity 8)
Au 0.227 0.419 0.437 (multiplicity 8)



Record 16
The following is a GGA-PBE calculation of a geometry-optimized NaAl5Au2 structure, from Alexandria via LeMat-Bulk.

Its total energy is -57.5 eV/cell. For the formation enthalpy at 0 K, the calculation gives -0.271 eV/atom.

Cell: 4.030 7.664 9.951 Å, 90.00 90.00 90.00°
Space group Immm (No. 71)
Symmetry-distinct sites (fractional):
Na 0.000 0.000 0.000 (multiplicity 2)
Al 0.000 0.190 0.356 (multiplicity 8)
Al 0.000 0.500 0.000 (multiplicity 2)
Au 0.000 0.500 0.254 (multiplicity 4)



Record 17
The following is a GGA-PBE calculation of a geometry-optimized NaAl3Au3 structure, from Alexandria via LeMat-Bulk.

Its total energy is -47.1 eV/cell. The excess energy over the best structure of this formula in the dataset comes out at 148.3 meV/atom. For the formation enthalpy at 0 K, the calculation gives -0.171 eV/atom.

Cell: 7.086 7.086 7.086 Å, 90.00 90.00 90.00°
Space group Pm-3n (No. 223)
Symmetry-distinct sites (fractional):
Na 0.000 0.000 0.000 (multiplicity 2)
Al 0.000 0.250 0.500 (multiplicity 6)
Au 0.000 0.500 0.250 (multiplicity 6)



Record 18
The following is a GGA-PBE calculation of a geometry-optimized Na2Al7Au12 structure, from Alexandria via LeMat-Bulk.

Its total energy is -75.3 eV/cell. For the formation enthalpy at 0 K, the calculation gives -0.339 eV/atom.

Cell: 10.4141 10.4141 4.2860 Å, 90.00 90.00 120.00°
Space group P-3 (No. 147)
Symmetry-distinct sites (fractional):
Na 0.3333 0.6667 0.2398 (multiplicity 2)
Al 0.0000 0.0000 0.5000 (multiplicity 1)
Al 0.1076 0.7097 0.7294 (multiplicity 6)
Au 0.0716 0.4506 0.7546 (multiplicity 6)
Au 0.1265 0.2630 0.2268 (multiplicity 6)



Record 19
The following is a GGA-PBE calculation of a geometry-optimized Na3Al7Au4 structure, from Alexandria via LeMat-Bulk.

Its total energy is -95.2 eV/cell. For the formation enthalpy at 0 K, the calculation gives -0.308 eV/atom.

Cell: 15.689 4.327 9.469 Å, 90.00 122.83 90.00°
Space group C2/m (No. 12)
Symmetry-distinct sites (fractional):
Na 0.000 0.000 0.000 (multiplicity 2)
Na 0.196 0.500 0.698 (multiplicity 4)
Al 0.000 0.000 0.500 (multiplicity 2)
Al 0.002 0.500 0.303 (multiplicity 4)
Al 0.152 0.000 0.428 (multiplicity 4)
Al 0.182 0.500 0.025 (multiplicity 4)
Au 0.119 0.000 0.839 (multiplicity 4)
Au 0.162 0.500 0.282 (multiplicity 4)



Record 20
The following is a GGA-PBE calculation of a geometry-optimized NaAlAu2 structure, from Alexandria via LeMat-Bulk.

Its total energy is -49.0 eV/cell. For the formation enthalpy at 0 K, the calculation gives -0.159 eV/atom.

Cell: 7.558 7.558 5.935 Å, 90.00 90.00 90.00°
Space group I-42d (No. 122)
Symmetry-distinct sites (fractional):
Na 0.000 0.000 0.000 (multiplicity 4)
Al 0.000 0.000 0.500 (multiplicity 4)
Au 0.195 0.750 0.625 (multiplicity 8)